Entry from Alexandria via LeMat-Bulk: a geometry-optimized TbPrDyHo3 structure (PBE).

Structure (POSCAR):
```
TbPrDyHo3
1.0
9.864 -2.807 0.000
9.864 2.807 0.000
-0.024 0.000 7.056
Tb Pr Dy Ho
2 2 2 6
Cartesian
2.945 0.000 3.207 Tb
16.759 0.000 3.849 Tb
2.846 0.000 0.206 Pr
16.858 0.000 6.850 Pr
8.764 0.000 5.138 Dy
10.940 0.000 1.919 Dy
0.442 0.000 5.188 Ho
5.482 0.000 5.343 Ho
6.637 0.000 1.906 Ho
13.067 0.000 5.150 Ho
14.222 0.000 1.713 Ho
19.263 0.000 1.868 Ho
```

Calculated values
crystal system: monoclinic
SG: C2/m
DOS(E_F): 17.7 states/eV/cell
formation energy: 0.209 eV per atom
V: 390.8 Å³/cell